1.
# TiSbTe2As PBE-GGA relaxed
data_TiSbTe2As
_cell_length_a 5.2225
_cell_length_b 5.2225
_cell_length_c 5.3913
_cell_angle_alpha 90.00
_cell_angle_beta 90.00
_cell_angle_gamma 90.00
_symmetry_space_group_name_H-M 'P 4/m m m'
_symmetry_Int_Tables_number 123
_symmetry_space_group_name_Hall '-P 4 2'
loop_
_atom_site_label
_atom_site_type_symbol
_atom_site_fract_x
_atom_site_fract_y
_atom_site_fract_z
_atom_site_occupancy
Ti1 Ti 0.0000 0.0000 0.0000 1
Sb1 Sb 0.0000 0.0000 0.5000 1
Te1 Te 0.0000 0.5000 0.0000 1
As1 As 0.5000 0.5000 0.5000 1
# Raw total energy   -4.252 eV/atom
# Formation energy without anion corrections   338 meV/atom
# Mass density   5.64 g cm⁻³
# Distance to the lowest polymorph of the same formula   0 meV/atom
# DOS at the Fermi energy   4.713 states/eV/f.u.

2.
# TlSb2TeAs PBE-GGA relaxed
data_TlSb2TeAs
_cell_length_a 5.4145
_cell_length_b 5.4145
_cell_length_c 5.6897
_cell_angle_alpha 90.00
_cell_angle_beta 90.00
_cell_angle_gamma 90.00
_symmetry_space_group_name_H-M 'P 4/m m m'
_symmetry_Int_Tables_number 123
_symmetry_space_group_name_Hall '-P 4 2'
loop_
_atom_site_label
_atom_site_type_symbol
_atom_site_fract_x
_atom_site_fract_y
_atom_site_fract_z
_atom_site_occupancy
Tl1 Tl 0.0000 0.0000 0.0000 1
Sb1 Sb 0.0000 0.5000 0.5000 1
Te1 Te 0.5000 0.5000 0.0000 1
As1 As 0.5000 0.5000 0.5000 1
# Raw total energy   -3.279 eV/atom
# Formation energy without anion corrections   402 meV/atom
# Mass density   6.48 g cm⁻³
# Distance to the lowest polymorph of the same formula   0 meV/atom
# DOS at the Fermi energy   5.388 states/eV/f.u.

3.
# Tl2SbTe4As PBE-GGA relaxed
data_Tl2SbTe4As
_cell_length_a 8.9451
_cell_length_b 9.1526
_cell_length_c 12.7958
_cell_angle_alpha 90.00
_cell_angle_beta 90.00
_cell_angle_gamma 90.00
_symmetry_space_group_name_H-M 'I m m a'
_symmetry_Int_Tables_number 74
_symmetry_space_group_name_Hall '-I 2b 2'
loop_
_atom_site_label
_atom_site_type_symbol
_atom_site_fract_x
_atom_site_fract_y
_atom_site_fract_z
_atom_site_occupancy
Tl1 Tl 0.0000 0.0000 0.0000 1
Tl2 Tl 0.2500 0.2500 0.2500 1
Sb1 Sb 0.0000 0.0000 0.5000 1
Te1 Te 0.0000 0.0338 0.7422 1
Te2 Te 0.2344 0.2500 0.5171 1
As1 As 0.2500 0.2500 0.7500 1
# Raw total energy   -3.415 eV/atom
# Formation energy without anion corrections   -156 meV/atom
# Mass density   7.07 g cm⁻³
# DOS at the Fermi energy   0.781 states/eV/f.u.

4.
# Tl3Sb2Te6As PBE-GGA relaxed
data_Tl3Sb2Te6As
_cell_length_a 7.6760
_cell_length_b 13.2814
_cell_length_c 8.3117
_cell_angle_alpha 90.00
_cell_angle_beta 107.89
_cell_angle_gamma 90.00
_symmetry_space_group_name_H-M 'C 1 2/m 1'
_symmetry_Int_Tables_number 12
loop_
_symmetry_equiv_pos_as_xyz
'x,y,z'
'-x,-y,-z'
'-x,y,-z'
'x,-y,z'
'x+1/2,y+1/2,z'
'-x+1/2,-y+1/2,-z'
'-x+1/2,y+1/2,-z'
'x+1/2,-y+1/2,z'
loop_
_atom_site_label
_atom_site_type_symbol
_atom_site_fract_x
_atom_site_fract_y
_atom_site_fract_z
_atom_site_occupancy
Tl1 Tl 0.0000 0.0000 0.0000 1
Tl2 Tl 0.0000 0.3269 0.0000 1
Sb1 Sb 0.0000 0.1662 0.5000 1
Te1 Te 0.2288 0.3409 0.7096 1
Te2 Te 0.2465 0.5000 0.2859 1
As1 As 0.0000 0.5000 0.5000 1
# Raw total energy   -3.429 eV/atom
# Formation energy without anion corrections   -192 meV/atom
# Mass density   6.99 g cm⁻³
# DOS at the Fermi energy   0.040 states/eV/f.u.

5.
# TlSbTe3As PBE-GGA relaxed
data_TlSbTe3As
_cell_length_a 9.5831
_cell_length_b 4.4273
_cell_length_c 9.6007
_cell_angle_alpha 90.00
_cell_angle_beta 99.11
_cell_angle_gamma 90.00
_symmetry_space_group_name_H-M 'P 1 21/m 1'
_symmetry_Int_Tables_number 11
loop_
_symmetry_equiv_pos_as_xyz
'x,y,z'
'-x,-y,-z'
'-x,y+1/2,-z'
'x,-y+1/2,z'
loop_
_atom_site_label
_atom_site_type_symbol
_atom_site_fract_x
_atom_site_fract_y
_atom_site_fract_z
_atom_site_occupancy
Tl1 Tl 0.1418 0.2500 0.2059 1
Sb1 Sb 0.3610 0.7500 0.8570 1
Te1 Te 0.1305 0.2500 0.8525 1
Te2 Te 0.2886 0.7500 0.5289 1
Te3 Te 0.4249 0.7500 0.1742 1
As1 As 0.1252 0.2500 0.5445 1
# Raw total energy   -3.506 eV/atom
# Formation energy without anion corrections   -78 meV/atom
# Mass density   6.47 g cm⁻³
# DOS at the Fermi energy   0.892 states/eV/f.u.

6.
# TlSb2TeAs PBE-GGA relaxed
data_TlSb2TeAs
_cell_length_a 5.6735
_cell_length_b 5.6735
_cell_length_c 5.6382
_cell_angle_alpha 90.00
_cell_angle_beta 90.00
_cell_angle_gamma 90.00
_symmetry_space_group_name_H-M 'P 4/m m m'
_symmetry_Int_Tables_number 123
_symmetry_space_group_name_Hall '-P 4 2'
loop_
_atom_site_label
_atom_site_type_symbol
_atom_site_fract_x
_atom_site_fract_y
_atom_site_fract_z
_atom_site_occupancy
Tl1 Tl 0.0000 0.0000 0.0000 1
Sb1 Sb 0.0000 0.5000 0.0000 1
Te1 Te 0.0000 0.0000 0.5000 1
As1 As 0.5000 0.5000 0.5000 1
# Raw total energy   -2.552 eV/atom
# Formation energy without anion corrections   1129 meV/atom
# Mass density   5.95 g cm⁻³
# Distance to the lowest polymorph of the same formula   727 meV/atom
# DOS at the Fermi energy   7.543 states/eV/f.u.

7.
# Tl2Sb2Te6As PBE-GGA relaxed
data_Tl2Sb2Te6As
_cell_length_a 7.4269
_cell_length_b 12.7126
_cell_length_c 8.6150
_cell_angle_alpha 90.00
_cell_angle_beta 107.50
_cell_angle_gamma 90.00
_symmetry_space_group_name_H-M 'C 1 2/m 1'
_symmetry_Int_Tables_number 12
loop_
_symmetry_equiv_pos_as_xyz
'x,y,z'
'-x,-y,-z'
'-x,y,-z'
'x,-y,z'
'x+1/2,y+1/2,z'
'-x+1/2,-y+1/2,-z'
'-x+1/2,y+1/2,-z'
'x+1/2,-y+1/2,z'
loop_
_atom_site_label
_atom_site_type_symbol
_atom_site_fract_x
_atom_site_fract_y
_atom_site_fract_z
_atom_site_occupancy
Tl1 Tl 0.0000 0.1735 0.0000 1
Sb1 Sb 0.0000 0.3306 0.5000 1
Te1 Te 0.2358 0.1567 0.7128 1
Te2 Te 0.2453 0.0000 0.2882 1
As1 As 0.0000 0.0000 0.5000 1
# Raw total energy   -3.444 eV/atom
# Formation energy without anion corrections   -128 meV/atom
# Mass density   6.39 g cm⁻³
# DOS at the Fermi energy   6.226 states/eV/f.u.

8.
# Tm6Sb2Te3As PBE-GGA relaxed
data_Tm6Sb2Te3As
_cell_length_a 18.7547
_cell_length_b 4.2581
_cell_length_c 8.5941
_cell_angle_alpha 90.00
_cell_angle_beta 103.65
_cell_angle_gamma 90.00
_symmetry_space_group_name_H-M 'C 1 2/m 1'
_symmetry_Int_Tables_number 12
loop_
_symmetry_equiv_pos_as_xyz
'x,y,z'
'-x,-y,-z'
'-x,y,-z'
'x,-y,z'
'x+1/2,y+1/2,z'
'-x+1/2,-y+1/2,-z'
'-x+1/2,y+1/2,-z'
'x+1/2,-y+1/2,z'
loop_
_atom_site_label
_atom_site_type_symbol
_atom_site_fract_x
_atom_site_fract_y
_atom_site_fract_z
_atom_site_occupancy
Tm1 Tm 0.0012 0.0000 0.2226 1
Tm2 Tm 0.1532 0.5000 0.0815 1
Tm3 Tm 0.1669 0.5000 0.5759 1
Sb1 Sb 0.1670 0.0000 0.3319 1
Te1 Te 0.0000 0.5000 0.5000 1
Te2 Te 0.1698 0.0000 0.8353 1
As1 As 0.0000 0.5000 0.0000 1
# Raw total energy   -5.346 eV/atom
# Formation energy without anion corrections   -1250 meV/atom
# Mass density   8.54 g cm⁻³
# DOS at the Fermi energy   4.673 states/eV/f.u.

9.
# Tm8SbTe4As3 PBE-GGA relaxed
data_Tm8SbTe4As3
_cell_length_a 8.3938
_cell_length_b 8.3938
_cell_length_c 20.9759
_cell_angle_alpha 90.00
_cell_angle_beta 90.00
_cell_angle_gamma 120.00
_symmetry_space_group_name_H-M 'R -3 m'
_symmetry_Int_Tables_number 166
_symmetry_space_group_name_Hall '-R 3 2"'
loop_
_atom_site_label
_atom_site_type_symbol
_atom_site_fract_x
_atom_site_fract_y
_atom_site_fract_z
_atom_site_occupancy
Tm1 Tm 0.0000 0.0000 0.2386 1
Tm2 Tm 0.0129 0.5065 0.7593 1
Sb1 Sb 0.0000 0.0000 0.5000 1
Te1 Te 0.0000 0.0000 0.0000 1
Te2 Te 0.0000 0.5000 0.0000 1
As1 As 0.0000 0.5000 0.5000 1
# Raw total energy   -5.504 eV/atom
# Formation energy without anion corrections   -1353 meV/atom
# Mass density   8.60 g cm⁻³
# DOS at the Fermi energy   5.732 states/eV/f.u.

10.
# Tm6SbTe3As2 PBE-GGA relaxed
data_Tm6SbTe3As2
_cell_length_a 18.5698
_cell_length_b 4.2006
_cell_length_c 8.5305
_cell_angle_alpha 90.00
_cell_angle_beta 104.20
_cell_angle_gamma 90.00
_symmetry_space_group_name_H-M 'C 1 2/m 1'
_symmetry_Int_Tables_number 12
loop_
_symmetry_equiv_pos_as_xyz
'x,y,z'
'-x,-y,-z'
'-x,y,-z'
'x,-y,z'
'x+1/2,y+1/2,z'
'-x+1/2,-y+1/2,-z'
'-x+1/2,y+1/2,-z'
'x+1/2,-y+1/2,z'
loop_
_atom_site_label
_atom_site_type_symbol
_atom_site_fract_x
_atom_site_fract_y
_atom_site_fract_z
_atom_site_occupancy
Tm1 Tm 0.0122 0.0000 0.2514 1
Tm2 Tm 0.1684 0.5000 0.1133 1
Tm3 Tm 0.1758 0.5000 0.5671 1
Sb1 Sb 0.0000 0.5000 0.0000 1
Te1 Te 0.0000 0.5000 0.5000 1
Te2 Te 0.1629 0.0000 0.8336 1
As1 As 0.1680 0.0000 0.3369 1
# Raw total energy   -5.476 eV/atom
# Formation energy without anion corrections   -1336 meV/atom
# Mass density   8.59 g cm⁻³
# DOS at the Fermi energy   4.526 states/eV/f.u.

11.
# Tm8Sb3Te4As PBE-GGA relaxed
data_Tm8Sb3Te4As
_cell_length_a 8.5745
_cell_length_b 8.5745
_cell_length_c 21.1049
_cell_angle_alpha 90.00
_cell_angle_beta 90.00
_cell_angle_gamma 120.00
_symmetry_space_group_name_H-M 'R -3 m'
_symmetry_Int_Tables_number 166
_symmetry_space_group_name_Hall '-R 3 2"'
loop_
_atom_site_label
_atom_site_type_symbol
_atom_site_fract_x
_atom_site_fract_y
_atom_site_fract_z
_atom_site_occupancy
Tm1 Tm 0.0000 0.0000 0.2462 1
Tm2 Tm 0.0142 0.5071 0.2430 1
Sb1 Sb 0.0000 0.5000 0.5000 1
Te1 Te 0.0000 0.0000 0.0000 1
Te2 Te 0.0000 0.5000 0.0000 1
As1 As 0.0000 0.0000 0.5000 1
# Raw total energy   -5.310 eV/atom
# Formation energy without anion corrections   -1225 meV/atom
# Mass density   8.53 g cm⁻³
# DOS at the Fermi energy   7.296 states/eV/f.u.

12.
# VSbTe2As PBE-GGA relaxed
data_VSbTe2As
_cell_length_a 5.4369
_cell_length_b 5.4369
_cell_length_c 5.1488
_cell_angle_alpha 90.00
_cell_angle_beta 90.00
_cell_angle_gamma 90.00
_symmetry_space_group_name_H-M 'P 4/m m m'
_symmetry_Int_Tables_number 123
_symmetry_space_group_name_Hall '-P 4 2'
loop_
_atom_site_label
_atom_site_type_symbol
_atom_site_fract_x
_atom_site_fract_y
_atom_site_fract_z
_atom_site_occupancy
V1 V 0.0000 0.0000 0.0000 1
Sb1 Sb 0.5000 0.5000 0.0000 1
Te1 Te 0.0000 0.5000 0.5000 1
As1 As 0.5000 0.5000 0.5000 1
# Raw total energy   -3.729 eV/atom
# Formation energy without anion corrections   1106 meV/atom
# Mass density   5.49 g cm⁻³
# Distance to the lowest polymorph of the same formula   623 meV/atom
# DOS at the Fermi energy   5.660 states/eV/f.u.